Here is a geometry-optimized Er3CoPd structure from Alexandria via LeMat-Bulk. Energies are from PBE.

Calculated values
Polymorph energy (0 for the lowest one)   0 meV per atom
Volume   22.78 Å³ per atom

Unit cell a=15.2941 b=3.7801 c=7.8807 alpha=90.00 beta=90.79 gamma=90.00
Space group C2/m (No. 12)
Unique sites:
Er 0.0586 0.0000 0.3114 x4
Er 0.1049 0.5000 0.9488 x4
Er 0.2404 0.0000 0.6927 x4
Co 0.2128 0.0000 0.0660 x4
Pd 0.0950 0.5000 0.5757 x4

---

Here is a geometry-optimized MnAlCl6 structure from Alexandria via LeMat-Bulk. Energies are from PBE.

Calculated values
Formation energy without anion corrections   -1092 meV/atom
Polymorph energy (0 for the lowest one)   103 meV per atom
Volume   22.24 Å³ per atom

Unit cell a=6.0254 b=6.0679 c=6.4147 alpha=61.87 beta=89.56 gamma=63.05
Space group P-1 (No. 2)
Unique sites:
Mn 0.0000 0.0000 0.0000 x1
Al 0.5000 0.0000 0.5000 x1
Cl 0.1043 0.1416 0.2415 x2
Cl 0.2436 0.1523 0.7499 x2
Cl 0.4181 0.4536 0.2714 x2